DyLuThSc: relaxed, GGA-PBE.

density: 8.647 g cm⁻³
DFT total energy: -5.631 eV/atom
DFT formation energy: 0.088 eV per atom

a = 5.5055 Å, b = 5.5055 Å, c = 5.5055 Å
α = 60.00°, β = 60.00°, γ = 60.00°
Element x y z (fractional)
Dy: 0.0000 0.0000 0.0000
Lu: 0.7500 0.7500 0.7500
Th: 0.5000 0.5000 0.5000
Sc: 0.2500 0.2500 0.2500

---

In12Sb3P5: relaxed, GGA-PBE.

density: 5.315 g cm⁻³
energy relative to the elements, uncorrected: 0.088 eV/atom
DFT total energy: -3.526 eV/atom

a = 14.5514 Å, b = 14.5514 Å, c = 14.5514 Å
α = 109.47°, β = 109.47°, γ = 109.47°
Element x y z (fractional)
In: 0.0428 0.2165 0.1292
In: 0.0428 0.3263 0.9136
In: 0.0864 0.6292 0.4127
In: 0.0864 0.9572 0.6737
In: 0.0873 0.7165 0.6737
In: 0.0873 0.8708 0.4136
In: 0.1292 0.0428 0.2165
In: 0.1292 0.5864 0.9127
In: 0.1737 0.2165 0.5873
In: 0.1737 0.4572 0.5864
In: 0.2165 0.1292 0.0428
In: 0.2165 0.5873 0.1737
In: 0.2835 0.3263 0.9127
In: 0.2835 0.4572 0.3708
In: 0.3263 0.9127 0.2835
In: 0.3263 0.9136 0.0428
In: 0.3708 0.2835 0.4572
In: 0.3708 0.5873 0.9136
In: 0.4127 0.0864 0.6292
In: 0.4127 0.8263 0.7835
In: 0.4136 0.0873 0.8708
In: 0.4136 0.8263 0.5428
In: 0.4572 0.3708 0.2835
In: 0.4572 0.5864 0.1737
In: 0.5428 0.4136 0.8263
In: 0.5428 0.6292 0.7165
In: 0.5864 0.1737 0.4572
In: 0.5864 0.9127 0.1292
In: 0.5873 0.1737 0.2165
In: 0.5873 0.9136 0.3708
In: 0.6292 0.4127 0.0864
In: 0.6292 0.7165 0.5428
In: 0.6737 0.0864 0.9572
In: 0.6737 0.0873 0.7165
In: 0.7165 0.5428 0.6292
In: 0.7165 0.6737 0.0873
In: 0.7835 0.4127 0.8263
In: 0.7835 0.8708 0.9572
In: 0.8263 0.5428 0.4136
In: 0.8263 0.7835 0.4127
In: 0.8708 0.4136 0.0873
In: 0.8708 0.9572 0.7835
In: 0.9127 0.1292 0.5864
In: 0.9127 0.2835 0.3263
In: 0.9136 0.0428 0.3263
In: 0.9136 0.3708 0.5873
In: 0.9572 0.6737 0.0864
In: 0.9572 0.7835 0.8708
Sb: 0.1250 0.2500 0.3750
Sb: 0.1250 0.3750 0.7500
Sb: 0.2500 0.3750 0.1250
Sb: 0.2500 0.8750 0.6250
Sb: 0.3750 0.1250 0.2500
Sb: 0.3750 0.7500 0.1250
Sb: 0.6250 0.2500 0.8750
Sb: 0.6250 0.8750 0.7500
Sb: 0.7500 0.1250 0.3750
Sb: 0.7500 0.6250 0.8750
Sb: 0.8750 0.6250 0.2500
Sb: 0.8750 0.7500 0.6250
P: 0.0000 0.0000 0.0000
P: 0.0000 0.0000 0.5000
P: 0.0000 0.5000 0.0000
P: 0.0000 0.5000 0.5000
P: 0.1250 0.7500 0.8750
P: 0.1250 0.8750 0.2500
P: 0.2500 0.1250 0.8750
P: 0.2500 0.6250 0.3750
P: 0.3750 0.2500 0.6250
P: 0.3750 0.6250 0.7500
P: 0.5000 0.0000 0.0000
P: 0.5000 0.0000 0.5000
P: 0.5000 0.5000 0.0000
P: 0.5000 0.5000 0.5000
P: 0.6250 0.3750 0.2500
P: 0.6250 0.7500 0.3750
P: 0.7500 0.3750 0.6250
P: 0.7500 0.8750 0.1250
P: 0.8750 0.1250 0.7500
P: 0.8750 0.2500 0.1250

---

Si5Pb3S12: relaxed, GGA-PBE.

density: 4.372 g cm⁻³
energy relative to the elements, uncorrected: -0.405 eV/atom
DFT total energy: -4.794 eV/atom

a = 13.1299 Å, b = 13.1299 Å, c = 13.1299 Å
α = 109.47°, β = 109.47°, γ = 109.47°
Element x y z (fractional)
Si: 0.0000 0.0000 0.0000
Si: 0.0000 0.0000 0.5000
Si: 0.0000 0.5000 0.0000
Si: 0.0000 0.5000 0.5000
Si: 0.1250 0.7500 0.8750
Si: 0.1250 0.8750 0.2500
Si: 0.2500 0.1250 0.8750
Si: 0.2500 0.6250 0.3750
Si: 0.3750 0.2500 0.6250
Si: 0.3750 0.6250 0.7500
Si: 0.5000 0.0000 0.0000
Si: 0.5000 0.0000 0.5000
Si: 0.5000 0.5000 0.0000
Si: 0.5000 0.5000 0.5000
Si: 0.6250 0.3750 0.2500
Si: 0.6250 0.7500 0.3750
Si: 0.7500 0.3750 0.6250
Si: 0.7500 0.8750 0.1250
Si: 0.8750 0.1250 0.7500
Si: 0.8750 0.2500 0.1250
Pb: 0.1250 0.2500 0.3750
Pb: 0.1250 0.3750 0.7500
Pb: 0.2500 0.3750 0.1250
Pb: 0.2500 0.8750 0.6250
Pb: 0.3750 0.1250 0.2500
Pb: 0.3750 0.7500 0.1250
Pb: 0.6250 0.2500 0.8750
Pb: 0.6250 0.8750 0.7500
Pb: 0.7500 0.1250 0.3750
Pb: 0.7500 0.6250 0.8750
Pb: 0.8750 0.6250 0.2500
Pb: 0.8750 0.7500 0.6250
S: 0.0154 0.2023 0.1133
S: 0.0154 0.3130 0.9020
S: 0.0890 0.7023 0.6870
S: 0.0890 0.8867 0.4020
S: 0.0980 0.6133 0.4110
S: 0.0980 0.9846 0.6870
S: 0.1133 0.0154 0.2023
S: 0.1133 0.5980 0.9110
S: 0.1870 0.2023 0.5890
S: 0.1870 0.4846 0.5980
S: 0.2023 0.1133 0.0154
S: 0.2023 0.5890 0.1870
S: 0.2977 0.3130 0.9110
S: 0.2977 0.4846 0.3867
S: 0.3130 0.9020 0.0154
S: 0.3130 0.9110 0.2977
S: 0.3867 0.2977 0.4846
S: 0.3867 0.5890 0.9020
S: 0.4020 0.0890 0.8867
S: 0.4020 0.8130 0.5154
S: 0.4110 0.0980 0.6133
S: 0.4110 0.8130 0.7977
S: 0.4846 0.3867 0.2977
S: 0.4846 0.5980 0.1870
S: 0.5154 0.4020 0.8130
S: 0.5154 0.6133 0.7023
S: 0.5890 0.1870 0.2023
S: 0.5890 0.9020 0.3867
S: 0.5980 0.1870 0.4846
S: 0.5980 0.9110 0.1133
S: 0.6133 0.4110 0.0980
S: 0.6133 0.7023 0.5154
S: 0.6870 0.0890 0.7023
S: 0.6870 0.0980 0.9846
S: 0.7023 0.5154 0.6133
S: 0.7023 0.6870 0.0890
S: 0.7977 0.4110 0.8130
S: 0.7977 0.8867 0.9846
S: 0.8130 0.5154 0.4020
S: 0.8130 0.7977 0.4110
S: 0.8867 0.4020 0.0890
S: 0.8867 0.9846 0.7977
S: 0.9020 0.0154 0.3130
S: 0.9020 0.3867 0.5890
S: 0.9110 0.1133 0.5980
S: 0.9110 0.2977 0.3130
S: 0.9846 0.6870 0.0980
S: 0.9846 0.7977 0.8867

---

Sc4Au5: relaxed, GGA-PBE.

density: 10.798 g cm⁻³
polymorph energy (0 for the lowest one): 1.04 eV per formula unit
DFT total energy: -5.219 eV/atom
DFT formation energy: -0.584 eV per atom

a = 6.6671 Å, b = 6.6671 Å, c = 6.6671 Å
α = 96.73°, β = 96.73°, γ = 139.97°
Element x y z (fractional)
Sc: 0.0000 0.3148 0.3148
Sc: 0.0000 0.6852 0.6852
Sc: 0.3148 0.0000 0.3148
Sc: 0.6852 0.0000 0.6852
Au: 0.0000 0.0000 0.0000
Au: 0.3308 0.3308 0.6616
Au: 0.3308 0.6692 0.0000
Au: 0.6692 0.3308 0.0000
Au: 0.6692 0.6692 0.3384

---

SmCd2IO6: relaxed, GGA-PBE.

density: 6.692 g cm⁻³
energy relative to the elements, uncorrected: -1.364 eV/atom
DFT total energy: -5.148 eV/atom

a = 6.0592 Å, b = 6.0592 Å, c = 6.0592 Å
α = 57.54°, β = 57.54°, γ = 57.54°
Element x y z (fractional)
Sm: 0.0000 0.0000 0.0000
Cd: 0.2680 0.2680 0.2680
Cd: 0.7872 0.7872 0.7872
I: 0.4916 0.4916 0.4916
O: 0.1428 0.6885 0.3947
O: 0.2117 0.6097 0.8728
O: 0.3947 0.1428 0.6885
O: 0.6097 0.8728 0.2117
O: 0.6885 0.3947 0.1428
O: 0.8728 0.2117 0.6097

---

PaHgS3: relaxed, GGA-PBE.

density: 6.634 g cm⁻³
energy relative to the elements, uncorrected: -0.947 eV/atom
polymorph energy (0 for the lowest one): 0.00 eV per formula unit
DFT total energy: -5.383 eV/atom

a = 3.7702 Å, b = 7.6598 Å, c = 9.9184 Å
α = 107.33°, β = 90.01°, γ = 104.20°
Element x y z (fractional)
Pa: 0.2443 0.4908 0.1979
Pa: 0.7557 0.5092 0.8021
Hg: 0.4827 0.9835 0.2475
Hg: 0.5173 0.0165 0.7525
S: 0.1264 0.2527 0.6712
S: 0.3337 0.6643 0.6648
S: 0.3446 0.6891 0.9990
S: 0.6554 0.3109 0.0010
S: 0.6663 0.3357 0.3352
S: 0.8736 0.7473 0.3288

---

Hg2SbAu8: relaxed, GGA-PBE.

density: 14.266 g cm⁻³
energy relative to the elements, uncorrected: 0.103 eV/atom
DFT total energy: -2.711 eV/atom

a = 3.7128 Å, b = 5.4533 Å, c = 12.2294 Å
α = 93.89°, β = 98.54°, γ = 90.18°
Element x y z (fractional)
Hg: 0.1915 0.1370 0.3848
Hg: 0.8085 0.8630 0.6152
Sb: 0.5000 0.0000 0.0000
Au: 0.0435 0.6711 0.0897
Au: 0.2909 0.4474 0.5852
Au: 0.3771 0.1333 0.7513
Au: 0.4066 0.6495 0.8107
Au: 0.5934 0.3505 0.1893
Au: 0.6229 0.8667 0.2487
Au: 0.7091 0.5526 0.4148
Au: 0.9565 0.3289 0.9103

---

TaCo2HW: relaxed, GGA-PBE.

density: 14.210 g cm⁻³
polymorph energy (0 for the lowest one): 0.04 eV per formula unit
DFT total energy: -8.480 eV/atom

a = 3.7793 Å, b = 3.7793 Å, c = 3.9571 Å
α = 90.00°, β = 90.00°, γ = 90.00°
Element x y z (fractional)
Ta: 0.0000 0.0000 0.0000
Co: 0.0000 0.5000 0.5000
Co: 0.5000 0.0000 0.5000
H: 0.0000 0.0000 0.5000
W: 0.5000 0.5000 0.0000